VASP calculation (GGA-PBE) on a geometry-optimized KZnBr2 structure.

Cell lengths 5.4519, 5.4519, 5.4519 Å; angles 60.00, 60.00, 60.00 degrees
With the nearest neighbours (Å) after each atom.
Element x y z (fractional)
K (0.0000, 0.0000, 0.0000)  8 Br 3.34
Zn (0.5000, 0.5000, 0.5000)  8 Br 3.34
Br (0.2500, 0.2500, 0.2500)  4 K 3.34, 4 Zn 3.34
Br (0.7500, 0.7500, 0.7500)  4 K 3.34, 4 Zn 3.34

Properties
space group	Fm-3m
N(E_F)	2.6	states/eV/f.u.
distance to the lowest polymorph of the same formula	226	meV per atom
ΔE_f (raw)	-0.736	eV per atom
DFT total energy	-2.166	eV per atom

VASP calculation (GGA-PBE) on a geometry-optimized KZnBr2 structure.

Cell lengths 8.1473, 8.1473, 8.1473 Å; angles 149.58, 149.58, 43.56 degrees
With the nearest neighbours (Å) after each atom.
Element x y z (fractional)
K (0.0000, 0.0000, 0.0000)  4 Br 3.02
Zn (0.2500, 0.7500, 0.5000)  4 Br 3.02
Br (0.5000, 0.5000, 0.0000)  4 K 3.02
Br (0.7500, 0.2500, 0.5000)  4 Zn 3.02

Properties
space group	I-4m2
N(E_F)	1.1	states/eV/f.u.
distance to the lowest polymorph of the same formula	187	meV per atom
ΔE_f (raw)	-0.775	eV per atom
DFT total energy	-2.205	eV per atom

VASP calculation (GGA-PBE) on a geometry-optimized KZn2Br structure.

Cell lengths 4.3708, 4.3708, 6.4980 Å; angles 90.00, 90.00, 90.00 degrees
With the nearest neighbours (Å) after each atom.
Element x y z (fractional)
K (0.0000, 0.0000, 0.0000)  4 Br 3.09
Zn (0.0000, 0.5000, 0.5000)  4 Zn 3.09
Zn (0.5000, 0.0000, 0.5000)  4 Zn 3.09
Br (0.5000, 0.5000, 0.0000)  4 K 3.09

Properties
space group	P4/mmm
N(E_F)	0.7	states/eV/f.u.
distance to the lowest polymorph of the same formula	65	meV per atom
ΔE_f (raw)	-0.401	eV per atom
DFT total energy	-1.731	eV per atom